Entry 1:
VASP calculation (GGA-PBE) on crystalline K3CuBr5 at its relaxed geometry.

Output
raw formation energy: -1.2237 eV/atom

a = 9.003 Å, b = 9.003 Å, c = 9.836 Å
α = 117.24°, β = 117.24°, γ = 90.00°
Each line ends with the local moment (μB).
Element x y z (fractional)
K: 0.659 0.159 0.000  0.00
K: 0.341 0.841 0.000  0.00
K: 0.841 0.659 0.000  0.00
K: 0.159 0.341 0.000  0.00
K: 0.250 0.250 0.500  0.00
K: 0.750 0.750 0.500  0.00
Cu: 0.750 0.250 0.500  0.45
Cu: 0.250 0.750 0.500  0.45
Br: 0.998 0.498 0.706  0.10
Br: 0.708 0.208 0.706  0.10
Br: 0.208 0.998 0.706  0.10
Br: 0.498 0.708 0.706  0.10
Br: 0.002 0.502 0.294  0.10
Br: 0.292 0.792 0.294  0.10
Br: 0.792 0.002 0.294  0.10
Br: 0.502 0.292 0.294  0.10
Br: 0.500 0.500 0.000  0.08
Br: 0.000 0.000 0.000  0.08



Entry 2:
VASP calculation (GGA-PBE) on crystalline K3Cu2Br7 at its relaxed geometry.

Output
energy above the most stable polymorph in this dataset: 16 meV per atom
raw formation energy: -0.9765 eV/atom

a = 5.115 Å, b = 5.262 Å, c = 13.583 Å
α = 101.17°, β = 90.00°, γ = 90.00°
Element x y z (fractional)
K: 0.500 0.500 0.000
K: 0.500 0.676 0.352
K: 0.500 0.324 0.648
Cu: 0.000 0.902 0.804
Cu: 0.000 0.098 0.196
Br: 0.000 0.407 0.815
Br: 0.000 0.807 0.615
Br: 0.000 0.000 0.000
Br: 0.000 0.593 0.185
Br: 0.500 0.093 0.186
Br: 0.500 0.907 0.814
Br: 0.000 0.193 0.385



Entry 3:
VASP calculation (GGA-PBE) on crystalline K2Cu3Br8 at its relaxed geometry.

Output
raw formation energy: -0.6885 eV/atom

a = 7.255 Å, b = 8.541 Å, c = 8.310 Å
α = 120.92°, β = 102.91°, γ = 90.00°
Element x y z (fractional)
K: 0.414 0.286 0.571
K: 0.586 0.714 0.429
Cu: 0.500 0.000 0.000
Cu: 0.000 0.315 0.000
Cu: 0.000 0.685 0.000
Br: 0.968 0.628 0.256
Br: 0.032 0.372 0.744
Br: 0.731 0.153 0.306
Br: 0.269 0.847 0.694
Br: 0.688 0.707 0.853
Br: 0.688 0.146 0.853
Br: 0.312 0.854 0.147
Br: 0.312 0.293 0.147



Entry 4:
VASP calculation (GGA-PBE) on crystalline KCu3Br6 at its relaxed geometry.

Output
raw formation energy: -0.5466 eV/atom

a = 9.596 Å, b = 10.060 Å, c = 10.060 Å
α = 65.25°, β = 61.51°, γ = 61.51°
Each line ends with the local moment (μB).
Element x y z (fractional)
K: 0.000 0.750 0.250  0.00
K: 0.000 0.250 0.750  0.00
Cu: 0.500 0.250 0.750  -0.01
Cu: 0.500 0.750 0.250  -0.01
Cu: 0.587 0.797 0.797  0.18
Cu: 0.820 0.297 0.297  0.18
Cu: 0.413 0.203 0.203  0.18
Cu: 0.180 0.703 0.703  0.18
Br: 0.564 0.282 0.936  0.04
Br: 0.807 0.639 0.639  0.04
Br: 0.915 0.139 0.139  0.04
Br: 0.193 0.361 0.361  0.04
Br: 0.783 0.218 0.564  0.04
Br: 0.436 0.064 0.718  0.04
Br: 0.217 0.782 0.436  0.04
Br: 0.564 0.936 0.282  0.04
Br: 0.436 0.718 0.064  0.04
Br: 0.783 0.564 0.218  0.04
Br: 0.085 0.861 0.861  0.04
Br: 0.217 0.436 0.782  0.04



Entry 5:
VASP calculation (GGA-PBE) on crystalline KLaCu2Br8 at its relaxed geometry.

Output
raw formation energy: -1.0185 eV/atom

a = 6.977 Å, b = 6.977 Å, c = 9.140 Å
α = 112.43°, β = 112.43°, γ = 90.00°
Each line ends with the local moment (μB).
Element x y z (fractional)
K: 0.750 0.250 0.500  0.00
La: 0.000 0.000 0.000  0.00
Cu: 0.500 0.500 0.000  0.36
Cu: 0.250 0.750 0.500  0.40
Br: 0.728 0.835 0.131  0.09
Br: 0.403 0.296 0.131  0.09
Br: 0.599 0.700 0.666  0.11
Br: 0.067 0.966 0.666  0.11
Br: 0.034 0.401 0.334  0.11
Br: 0.300 0.933 0.334  0.11
Br: 0.165 0.597 0.869  0.09
Br: 0.704 0.272 0.869  0.09



Entry 6:
VASP calculation (GGA-PBE) on crystalline K2LaCuBr6 at its relaxed geometry.

Output
raw formation energy: -1.5158 eV/atom

a = 8.053 Å, b = 8.775 Å, c = 10.072 Å
α = 90.00°, β = 88.91°, γ = 90.00°
Each line ends with the local moment (μB).
Element x y z (fractional)
K: 0.019 0.912 0.253  0.00
K: 0.519 0.588 0.753  0.00
K: 0.981 0.088 0.747  0.00
K: 0.481 0.412 0.247  0.00
La: 0.500 0.000 0.000  0.00
La: 0.000 0.500 0.500  0.00
Cu: 0.500 0.000 0.500  0.05
Cu: 0.000 0.500 0.000  0.05
Br: 0.331 0.710 0.050  0.00
Br: 0.831 0.790 0.550  0.00
Br: 0.669 0.290 0.950  0.00
Br: 0.169 0.210 0.450  0.00
Br: 0.305 0.668 0.445  0.00
Br: 0.805 0.832 0.945  0.00
Br: 0.695 0.332 0.555  0.00
Br: 0.195 0.168 0.055  0.00
Br: 0.898 0.535 0.215  0.00
Br: 0.398 0.965 0.715  0.00
Br: 0.102 0.465 0.785  0.00
Br: 0.602 0.035 0.285  0.00